Record 1
The following is a DFT calculation (GGA-PBE) of a relaxed Pm2Y2Er crystal.

Values from the calculation:
The calculation puts the energy of formation at 142 meV/atom. The density of states at the Fermi level comes out at 26.453 states/eV per cell.

a b c (Å): 6.574 12.262 8.736
angles (deg): 90.00 108.20 90.00
Sites, in units of the cell vectors:
Pm  0.754  0.955  0.081
Pm  0.254  0.545  0.081
Pm  0.746  0.455  0.919
Pm  0.246  0.045  0.919
Pm  0.735  0.458  0.350
Pm  0.235  0.042  0.350
Pm  0.765  0.958  0.650
Pm  0.265  0.542  0.650
Y  0.415  0.296  0.043
Y  0.915  0.204  0.043
Y  0.085  0.796  0.957
Y  0.585  0.704  0.957
Y  0.004  0.697  0.304
Y  0.504  0.803  0.304
Y  0.496  0.197  0.696
Y  0.996  0.303  0.696
Er  0.227  0.344  0.361
Er  0.773  0.656  0.639
Er  0.727  0.156  0.361
Er  0.273  0.844  0.639

Record 2
The following is a DFT calculation (GGA-PBE) of a relaxed PmY2Er crystal.

Values from the calculation:
The calculation puts the energy of formation at 11 meV/atom. The density of states at the Fermi level comes out at 7.074 states/eV per cell.

a b c (Å): 3.655 6.762 6.759
angles (deg): 114.80 105.68 105.68
Sites, in units of the cell vectors:
Pm  0.332  0.839  0.958
Y  0.334  0.344  0.457
Y  0.668  0.928  0.543
Er  0.666  0.425  0.042

Record 3
The following is a DFT calculation (GGA-PBE) of a relaxed Pm5Y2Er12 crystal.

Values from the calculation:
The calculation puts the energy of formation at 277 meV/atom. The density of states at the Fermi level comes out at 25.716 states/eV per cell.

a b c (Å): 7.060 9.197 10.762
angles (deg): 99.68 90.00 112.57
Sites, in units of the cell vectors:
Pm  0.251  0.502  0.489
Pm  0.224  0.448  0.999
Pm  0.000  0.000  0.500
Pm  0.776  0.552  0.001
Pm  0.749  0.498  0.511
Y  0.731  0.000  0.000
Y  0.269  0.000  0.000
Er  0.030  0.060  0.243
Er  0.094  0.648  0.775
Er  0.554  0.648  0.775
Er  0.121  0.734  0.269
Er  0.614  0.734  0.269
Er  0.460  0.919  0.644
Er  0.540  0.081  0.356
Er  0.879  0.266  0.731
Er  0.386  0.266  0.731
Er  0.906  0.352  0.225
Er  0.446  0.352  0.225
Er  0.970  0.940  0.757

Record 4
The following is a DFT calculation (GGA-PBE) of a relaxed Pm2Y5Er5 crystal.

Values from the calculation:
The calculation puts the energy of formation at 65 meV/atom. The density of states at the Fermi level comes out at 22.346 states/eV per cell.

a b c (Å): 5.627 8.983 9.675
angles (deg): 122.62 90.00 108.25
Sites, in units of the cell vectors:
Pm  0.125  0.251  0.797
Pm  0.875  0.749  0.203
Y  0.125  0.249  0.462
Y  0.750  0.500  0.745
Y  0.250  0.500  0.255
Y  0.875  0.751  0.538
Y  0.000  0.000  0.000
Er  0.500  0.000  0.500
Er  0.624  0.249  0.955
Er  0.624  0.249  0.288
Er  0.376  0.751  0.712
Er  0.376  0.751  0.045

Record 5
The following is a DFT calculation (GGA-PBE) of a relaxed PmY5Er crystal.

Values from the calculation:
The calculation puts the energy of formation at 111 meV/atom. The density of states at the Fermi level comes out at 25.387 states/eV per cell.

a b c (Å): 6.540 6.540 11.825
angles (deg): 105.67 105.67 95.48
Sites, in units of the cell vectors:
Pm  0.000  0.000  0.000
Pm  0.000  0.000  0.500
Y  0.388  0.028  0.834
Y  0.468  0.762  0.536
Y  0.028  0.388  0.334
Y  0.838  0.162  0.750
Y  0.238  0.532  0.964
Y  0.762  0.468  0.036
Y  0.162  0.838  0.250
Y  0.972  0.612  0.666
Y  0.532  0.238  0.464
Y  0.612  0.972  0.166
Er  0.493  0.507  0.750
Er  0.507  0.493  0.250

Record 6
The following is a DFT calculation (GGA-PBE) of a relaxed Pm2Y15Er2 crystal.

Values from the calculation:
The calculation puts the energy of formation at 288 meV/atom. The density of states at the Fermi level comes out at 39.629 states/eV per cell.

a b c (Å): 8.789 8.789 8.789
angles (deg): 79.80 79.80 79.80
Sites, in units of the cell vectors:
Pm  0.676  0.676  0.676
Pm  0.324  0.324  0.324
Y  0.500  0.000  0.000
Y  0.000  0.000  0.500
Y  0.000  0.500  0.000
Y  0.000  0.298  0.702
Y  0.298  0.702  0.000
Y  0.702  0.000  0.298
Y  0.702  0.298  0.000
Y  0.298  0.000  0.702
Y  0.000  0.702  0.298
Y  0.851  0.368  0.368
Y  0.368  0.368  0.851
Y  0.368  0.851  0.368
Y  0.149  0.632  0.632
Y  0.632  0.632  0.149
Y  0.632  0.149  0.632
Er  0.904  0.904  0.904
Er  0.096  0.096  0.096